# 1
{
  "formula": "FeCoOF",
  "functional": "PBE with a Hubbard U",
  "state": "relaxed",
  "cell": [[2.855, -1.629, 0.000], [2.855, 1.629, 0.000], [-0.442, 0.000, 5.596]],
  "species": ["Fe", "Co", "O", "F"],
  "fractional_positions": [[0.000, 0.000, 0.000], [0.699, 0.699, 0.463], [0.683, 0.683, 0.125], [0.288, 0.288, 0.734]],
  "de_polymorph_mev_per_atom": 87,
  "final_energy_ev_per_atom": -5.512
}

# 2
{
  "formula": "FeCoOF",
  "functional": "PBE with a Hubbard U",
  "state": "relaxed",
  "cell": [[-1.598, 2.940, 3.162], [1.598, -2.940, 3.162], [1.598, 2.940, -3.162]],
  "species": ["Fe", "Co", "O", "F"],
  "fractional_positions": [[0.000, 0.000, 0.000], [0.462, 0.962, 0.500], [0.177, 0.677, 0.500], [0.760, 0.260, 0.500]],
  "de_polymorph_mev_per_atom": 190,
  "final_energy_ev_per_atom": -5.408
}

# 3
{
  "formula": "FeCoOF",
  "functional": "PBE with a Hubbard U",
  "state": "relaxed",
  "cell": [[2.707, -1.564, 0.000], [2.707, 1.564, 0.000], [-1.800, 0.000, 6.627]],
  "species": ["Fe", "Co", "O", "F"],
  "fractional_positions": [[0.000, 0.000, 0.000], [0.556, 0.556, 0.665], [0.366, 0.366, 0.099], [0.175, 0.175, 0.523]],
  "de_polymorph_mev_per_atom": 239,
  "final_energy_ev_per_atom": -5.359
}